First-principles (GGA-PBE) data for LaPuZnIn after structural relaxation, as listed in Alexandria.

Unit cell a=7.598 b=7.598 c=7.598 alpha=90.00 beta=90.00 gamma=90.00
Space group F-43m (No. 216)
Symmetry-distinct sites (fractional):
La1 0.000 0.000 0.000
Pu1 0.000 0.000 0.500
Zn1 0.250 0.250 0.750
In1 0.250 0.250 0.250

For the energy, the calculation gives -6.02 eV per atom. The total magnetization is 6.35 μB per formula unit.